Entry 1:
{
  "formula": "Pr2Co2Ag",
  "functional": "GGA-PBE",
  "state": "optimized geometry",
  "lattice": [[1.966, -6.985, 0.000], [1.966, 6.985, 0.000], [0.000, 0.000, 4.019]],
  "species": ["Pr", "Pr", "Co", "Co", "Ag"],
  "fractional_positions": [[0.133, 0.867, 0.000], [0.867, 0.133, 0.000], [0.289, 0.711, 0.500], [0.711, 0.289, 0.500], [0.500, 0.500, 0.500]],
  "space_group": "Cmmm (65)",
  "total_energy_ry_per_atom": -0.40056,
  "magmom_total_mub_per_fu": 1.6,
  "delta_e_f_ev_per_atom": -0.13
}

Entry 2:
{
  "formula": "Pr3CoAg",
  "functional": "GGA-PBE",
  "state": "optimized geometry",
  "lattice": [[5.361, -3.239, 0.000], [5.361, 3.239, 0.000], [-3.783, 0.000, 7.879]],
  "species": ["Pr", "Pr", "Pr", "Pr", "Pr", "Pr", "Co", "Co", "Ag", "Ag"],
  "fractional_positions": [[0.021, 0.021, 0.215], [0.296, 0.296, 0.674], [0.315, 0.315, 0.133], [0.685, 0.685, 0.867], [0.704, 0.704, 0.326], [0.979, 0.979, 0.785], [0.321, 0.679, 0.000], [0.679, 0.321, 0.000], [0.280, 0.720, 0.500], [0.720, 0.280, 0.500]],
  "space_group": "C2/m (12)",
  "total_energy_ry_per_atom": -0.36504,
  "magmom_total_mub_per_fu": 0.0,
  "delta_e_f_ev_per_atom": -0.11
}

Entry 3:
{
  "formula": "Pr6Co2Ag",
  "functional": "GGA-PBE",
  "state": "optimized geometry",
  "lattice": [[5.084, -2.652, 0.000], [5.084, 2.652, 0.000], [-1.509, 0.000, 8.934]],
  "species": ["Pr", "Pr", "Pr", "Pr", "Pr", "Pr", "Co", "Co", "Ag"],
  "fractional_positions": [[0.039, 0.039, 0.342], [0.290, 0.290, 0.660], [0.344, 0.344, 0.115], [0.656, 0.656, 0.885], [0.710, 0.710, 0.340], [0.961, 0.961, 0.658], [0.392, 0.392, 0.406], [0.608, 0.608, 0.594], [0.000, 0.000, 0.000]],
  "space_group": "C2/m (12)",
  "total_energy_ry_per_atom": -0.37513,
  "magmom_total_mub_per_fu": 0.0,
  "delta_e_f_ev_per_atom": -0.02
}

Entry 4:
{
  "formula": "PrSmCoAg",
  "functional": "GGA-PBE",
  "state": "optimized geometry",
  "lattice": [[0.000, 3.611, 3.611], [3.611, 0.000, 3.611], [3.611, 3.611, 0.000]],
  "species": ["Pr", "Sm", "Co", "Ag"],
  "fractional_positions": [[0.000, 0.000, 0.000], [0.500, 0.500, 0.500], [0.750, 0.750, 0.750], [0.250, 0.250, 0.250]],
  "space_group": "F-43m (216)",
  "total_energy_ry_per_atom": -0.36208,
  "magmom_total_mub_per_fu": 0.5,
  "delta_e_f_ev_per_atom": -0.06
}

Entry 5:
{
  "formula": "PrTmCoAg",
  "functional": "GGA-PBE",
  "state": "optimized geometry",
  "lattice": [[0.000, 3.551, 3.551], [3.551, 0.000, 3.551], [3.551, 3.551, 0.000]],
  "species": ["Pr", "Tm", "Co", "Ag"],
  "fractional_positions": [[0.000, 0.000, 0.000], [0.500, 0.500, 0.500], [0.750, 0.750, 0.750], [0.250, 0.250, 0.250]],
  "space_group": "F-43m (216)",
  "total_energy_ry_per_atom": -0.36083,
  "magmom_total_mub_per_fu": 0.5,
  "delta_e_f_ev_per_atom": -0.11
}

Entry 6:
{
  "formula": "CoAgPt4",
  "functional": "GGA-PBE",
  "state": "optimized geometry",
  "lattice": [[0.000, 3.707, 3.707], [3.707, 0.000, 3.707], [3.707, 3.707, 0.000]],
  "species": ["Co", "Ag", "Pt", "Pt", "Pt", "Pt"],
  "fractional_positions": [[0.000, 0.000, 0.000], [0.750, 0.750, 0.750], [0.375, 0.375, 0.375], [0.375, 0.375, 0.875], [0.375, 0.875, 0.375], [0.875, 0.375, 0.375]],
  "space_group": "F-43m (216)",
  "total_energy_ry_per_atom": -0.40072,
  "magmom_total_mub_per_fu": 2.1,
  "delta_e_f_ev_per_atom": 0.23
}

Entry 7:
{
  "formula": "Co3AgPt",
  "functional": "GGA-PBE",
  "state": "optimized geometry",
  "lattice": [[4.619, 0.000, 0.000], [0.000, 4.619, 0.000], [0.000, 0.000, 4.619]],
  "species": ["Co", "Co", "Co", "Ag", "Pt"],
  "fractional_positions": [[0.000, 0.000, 0.500], [0.000, 0.500, 0.000], [0.500, 0.000, 0.000], [0.500, 0.500, 0.500], [0.000, 0.000, 0.000]],
  "space_group": "Pm-3m (221)",
  "total_energy_ry_per_atom": -0.35412,
  "magmom_total_mub_per_fu": 6.5,
  "delta_e_f_ev_per_atom": 1.22
}

Entry 8:
{
  "formula": "CoAgPt2",
  "functional": "GGA-PBE",
  "state": "optimized geometry",
  "lattice": [[2.763, 0.000, 0.000], [0.000, 2.763, 0.000], [0.000, 0.000, 7.895]],
  "species": ["Co", "Ag", "Pt", "Pt"],
  "fractional_positions": [[0.000, 0.000, 0.000], [0.500, 0.500, 0.750], [0.000, 0.000, 0.479], [0.500, 0.500, 0.217]],
  "space_group": "P4mm (99)",
  "total_energy_ry_per_atom": -0.40045,
  "magmom_total_mub_per_fu": 2.3,
  "delta_e_f_ev_per_atom": 0.06
}

Entry 9:
{
  "formula": "Co2AgPt2",
  "functional": "GGA-PBE",
  "state": "optimized geometry",
  "lattice": [[7.441, 0.000, 0.000], [0.000, 7.441, 0.000], [0.000, 0.000, 2.719]],
  "species": ["Co", "Co", "Co", "Co", "Ag", "Ag", "Pt", "Pt", "Pt", "Pt"],
  "fractional_positions": [[0.166, 0.334, 0.000], [0.334, 0.834, 0.000], [0.666, 0.166, 0.000], [0.834, 0.666, 0.000], [0.000, 0.000, 0.500], [0.500, 0.500, 0.500], [0.131, 0.631, 0.500], [0.369, 0.131, 0.500], [0.631, 0.869, 0.500], [0.869, 0.369, 0.500]],
  "space_group": "P4/mbm (127)",
  "total_energy_ry_per_atom": -0.42128,
  "magmom_total_mub_per_fu": 4.7,
  "delta_e_f_ev_per_atom": 0.10
}

Entry 10:
{
  "formula": "CoAg2Pt2",
  "functional": "GGA-PBE",
  "state": "optimized geometry",
  "lattice": [[6.341, 0.000, 0.000], [0.000, 6.341, 0.000], [0.000, 0.000, 4.333]],
  "species": ["Co", "Co", "Ag", "Ag", "Ag", "Ag", "Pt", "Pt", "Pt", "Pt"],
  "fractional_positions": [[0.000, 0.000, 0.000], [0.500, 0.500, 0.000], [0.166, 0.334, 0.500], [0.334, 0.834, 0.500], [0.666, 0.166, 0.500], [0.834, 0.666, 0.500], [0.143, 0.643, 0.000], [0.357, 0.143, 0.000], [0.643, 0.857, 0.000], [0.857, 0.357, 0.000]],
  "space_group": "P4/mbm (127)",
  "total_energy_ry_per_atom": -0.34586,
  "magmom_total_mub_per_fu": 2.9,
  "delta_e_f_ev_per_atom": 0.27
}

Entry 11:
{
  "formula": "CoAgPt2",
  "functional": "GGA-PBE",
  "state": "optimized geometry",
  "lattice": [[2.780, 0.000, 0.000], [0.000, 3.757, 0.000], [0.000, 0.000, 5.799]],
  "species": ["Co", "Ag", "Pt", "Pt"],
  "fractional_positions": [[0.000, 0.000, 0.000], [0.000, 0.000, 0.500], [0.500, 0.500, 0.230], [0.500, 0.500, 0.770]],
  "space_group": "Pmmm (47)",
  "total_energy_ry_per_atom": -0.40191,
  "magmom_total_mub_per_fu": 2.7,
  "delta_e_f_ev_per_atom": 0.04
}

Entry 12:
{
  "formula": "CoAgPt2",
  "functional": "GGA-PBE",
  "state": "optimized geometry",
  "lattice": [[4.651, 0.000, 0.000], [0.000, 4.651, 0.000], [0.000, 0.000, 2.837]],
  "species": ["Co", "Ag", "Pt", "Pt"],
  "fractional_positions": [[0.000, 0.000, 0.000], [0.500, 0.500, 0.000], [0.000, 0.500, 0.500], [0.500, 0.000, 0.500]],
  "space_group": "P4/mmm (123)",
  "total_energy_ry_per_atom": -0.39012,
  "magmom_total_mub_per_fu": 2.7,
  "delta_e_f_ev_per_atom": 0.20
}

Entry 13:
{
  "formula": "CoAg3Pt",
  "functional": "GGA-PBE",
  "state": "optimized geometry",
  "lattice": [[4.681, 0.000, 0.000], [0.000, 4.681, 0.000], [0.000, 0.000, 4.681]],
  "species": ["Co", "Ag", "Ag", "Ag", "Pt"],
  "fractional_positions": [[0.000, 0.000, 0.000], [0.000, 0.000, 0.500], [0.000, 0.500, 0.000], [0.500, 0.000, 0.000], [0.500, 0.500, 0.500]],
  "space_group": "Pm-3m (221)",
  "total_energy_ry_per_atom": -0.23270,
  "magmom_total_mub_per_fu": 1.9,
  "delta_e_f_ev_per_atom": 1.17
}

Entry 14:
{
  "formula": "CoAg2Pt",
  "functional": "GGA-PBE",
  "state": "optimized geometry",
  "lattice": [[3.857, 0.000, 0.000], [0.000, 3.857, 0.000], [0.000, 0.000, 4.218]],
  "species": ["Co", "Ag", "Ag", "Pt"],
  "fractional_positions": [[0.000, 0.000, 0.000], [0.000, 0.500, 0.500], [0.500, 0.000, 0.500], [0.500, 0.500, 0.000]],
  "space_group": "P4/mmm (123)",
  "total_energy_ry_per_atom": -0.32713,
  "magmom_total_mub_per_fu": 2.3,
  "delta_e_f_ev_per_atom": 0.26
}

Entry 15:
{
  "formula": "CoAgPt3",
  "functional": "GGA-PBE",
  "state": "optimized geometry",
  "lattice": [[4.576, 0.000, 0.000], [0.000, 4.576, 0.000], [0.000, 0.000, 4.576]],
  "species": ["Co", "Ag", "Pt", "Pt", "Pt"],
  "fractional_positions": [[0.000, 0.000, 0.000], [0.500, 0.500, 0.500], [0.000, 0.000, 0.500], [0.000, 0.500, 0.000], [0.500, 0.000, 0.000]],
  "space_group": "Pm-3m (221)",
  "total_energy_ry_per_atom": -0.34951,
  "magmom_total_mub_per_fu": 3.1,
  "delta_e_f_ev_per_atom": 0.86
}

Entry 16:
{
  "formula": "CoAgPt2",
  "functional": "GGA-PBE",
  "state": "optimized geometry",
  "lattice": [[-1.958, 1.958, 3.937], [1.958, -1.958, 3.937], [1.958, 1.958, -3.937]],
  "species": ["Co", "Ag", "Pt", "Pt"],
  "fractional_positions": [[0.000, 0.000, 0.000], [0.500, 0.500, 0.000], [0.250, 0.750, 0.500], [0.750, 0.250, 0.500]],
  "space_group": "I4/mmm (139)",
  "total_energy_ry_per_atom": -0.39840,
  "magmom_total_mub_per_fu": 2.5,
  "delta_e_f_ev_per_atom": 0.09
}

Entry 17:
{
  "formula": "CoAgPt2",
  "functional": "GGA-PBE",
  "state": "optimized geometry",
  "lattice": [[1.383, 0.799, 9.108], [-1.383, 0.799, 9.108], [0.000, -1.597, 9.108]],
  "species": ["Co", "Ag", "Pt", "Pt"],
  "fractional_positions": [[0.000, 0.000, 0.000], [0.749, 0.749, 0.749], [0.259, 0.259, 0.259], [0.504, 0.504, 0.504]],
  "space_group": "R3m (160)",
  "total_energy_ry_per_atom": -0.40157,
  "magmom_total_mub_per_fu": 2.4,
  "delta_e_f_ev_per_atom": 0.05
}

Entry 18:
{
  "formula": "CoAgPt2",
  "functional": "GGA-PBE",
  "state": "optimized geometry",
  "lattice": [[2.768, 0.000, 0.000], [0.000, 2.768, 0.000], [0.000, 0.000, 7.869]],
  "species": ["Co", "Ag", "Pt", "Pt"],
  "fractional_positions": [[0.000, 0.000, 0.000], [0.000, 0.000, 0.500], [0.500, 0.500, 0.223], [0.500, 0.500, 0.777]],
  "space_group": "P4/mmm (123)",
  "total_energy_ry_per_atom": -0.40850,
  "magmom_total_mub_per_fu": 2.7,
  "delta_e_f_ev_per_atom": -0.05
}

Entry 19:
{
  "formula": "CoAgPt2",
  "functional": "GGA-PBE",
  "state": "optimized geometry",
  "lattice": [[2.781, -3.942, 0.000], [2.781, 3.942, 0.000], [0.000, 0.000, 2.765]],
  "species": ["Co", "Ag", "Pt", "Pt"],
  "fractional_positions": [[0.000, 0.000, 0.000], [0.500, 0.500, 0.000], [0.000, 0.500, 0.500], [0.500, 0.000, 0.500]],
  "space_group": "Cmmm (65)",
  "total_energy_ry_per_atom": -0.39716,
  "magmom_total_mub_per_fu": 2.4,
  "delta_e_f_ev_per_atom": 0.11
}

Entry 20:
{
  "formula": "CoAgPt2",
  "functional": "GGA-PBE",
  "state": "optimized geometry",
  "lattice": [[3.951, 0.000, 0.000], [0.000, 3.951, 0.000], [0.000, 0.000, 3.884]],
  "species": ["Co", "Ag", "Pt", "Pt"],
  "fractional_positions": [[0.000, 0.000, 0.000], [0.500, 0.500, 0.000], [0.000, 0.500, 0.500], [0.500, 0.000, 0.500]],
  "space_group": "P4/mmm (123)",
  "total_energy_ry_per_atom": -0.39554,
  "magmom_total_mub_per_fu": 2.7,
  "delta_e_f_ev_per_atom": 0.13
}